Material: HfCr3F
Method: DFT, GGA+U
State: optimized geometry

a = 4.4931 Å, b = 4.4931 Å, c = 4.4931 Å
α = 90.00°, β = 90.00°, γ = 90.00°
Space group Pm-3m (No. 221)
Inequivalent atoms, fractional coordinates:
Hf 0.0000 0.0000 0.0000
Cr 0.0000 0.5000 0.5000
F 0.5000 0.5000 0.5000

Output
E = -6.623 eV per atom
N(E_F) = 7.7 states/eV/cell
polymorph energy (0 for the lowest one) = 0.000 eV/atom